Entry from the Alexandria database: SrSiPt2 at its PBEsol-relaxed geometry (SCAN).

space-group type	R-3m (166)
formation energy from raw total energies	-0.981	eV/atom
crystal system	trigonal
E	-44.15	eV per atom
spin magnetization	0.00	μB per formula unit

Cell lengths 4.1960, 4.1960, 5.9747 Å; angles 69.44, 69.44, 60.00 degrees
Positions (direct):
Pt: 0.2984 0.2984 0.1049
Pt: 0.7016 0.7016 0.8951
Sr: 0.5000 0.5000 0.5000
Si: 0.0000 0.0000 0.0000


Entry from the Alexandria database: FePdS2Cl at its PBEsol-relaxed geometry (SCAN).

space-group type	P4/mmm (123)
formation energy from raw total energies	0.449	eV/atom
crystal system	tetragonal
E	-15.18	eV per atom
spin magnetization	4.04	μB per formula unit

Cell lengths 4.6337, 4.6337, 4.6232 Å; angles 90.00, 90.00, 90.00 degrees
Last column: magnetic moment on the atom in μB.
Positions (direct):
Pd: 0.0000 0.0000 0.0000  0.00
Cl: 0.0000 0.0000 0.5000  0.03
S: 0.0000 0.5000 0.0000  0.09
S: 0.5000 0.0000 0.0000  0.09
Fe: 0.5000 0.5000 0.5000  3.60